[1]
DFT (PBE) results for a relaxed structure of Ta2CoCuAg.

Cell lengths 4.874, 4.535, 4.874 Å; angles 90.00, 90.00, 90.00 degrees
Site moments in Bohr magnetons follow the coordinates.
Positions (direct):
Ag  0.000  0.000  0.000  -0.01
Cu  0.500  0.500  0.500  0.00
Ta  0.500  0.000  0.000  -0.12
Ta  0.000  0.000  0.500  -0.15
Co  0.000  0.500  0.000  1.58

Output
Total DFT energy (no corrections) ... -5.469 eV/atom
Formation energy ... 2.0831 eV per atom

---

[2]
DFT (PBE) results for a relaxed structure of Tb2Er15Th2.

Cell lengths 8.674, 8.674, 8.674 Å; angles 78.98, 78.98, 78.98 degrees
Positions (direct):
Er  0.633  0.145  0.633
Er  0.000  0.699  0.301
Er  0.145  0.633  0.633
Er  0.367  0.367  0.855
Er  0.301  0.000  0.699
Er  0.699  0.000  0.301
Er  0.500  0.000  0.000
Er  0.301  0.699  0.000
Er  0.000  0.500  0.000
Er  0.633  0.633  0.145
Er  0.000  0.301  0.699
Er  0.367  0.855  0.367
Er  0.855  0.367  0.367
Er  0.699  0.301  0.000
Er  0.000  0.000  0.500
Th  0.089  0.089  0.089
Th  0.911  0.911  0.911
Tb  0.682  0.682  0.682
Tb  0.318  0.318  0.318

Output
Total DFT energy (no corrections) ... -4.579 eV/atom
Formation energy ... 0.2921 eV per atom

---

[3]
DFT (PBE) results for a relaxed structure of ZrB.

Cell lengths 4.152, 4.152, 4.811 Å; angles 90.00, 90.00, 120.00 degrees
Positions (direct):
Zr  0.667  0.333  0.250
Zr  0.333  0.667  0.750
B  0.667  0.333  0.750
B  0.333  0.667  0.250

Output
Total DFT energy (no corrections) ... -7.416 eV/atom
Formation energy ... 0.1964 eV per atom

---

[4]
DFT (PBE) results for a relaxed structure of NaLiAgSb.

Cell lengths 4.879, 4.879, 4.879 Å; angles 60.00, 60.00, 60.00 degrees
Positions (direct):
Li  0.750  0.750  0.750
Sb  0.000  0.000  0.000
Na  0.500  0.500  0.500
Ag  0.250  0.250  0.250

Output
Total DFT energy (no corrections) ... -2.923 eV/atom
ΔE_f (raw) ... -36 kJ per mole of atoms

---

[5]
DFT (PBE) results for a relaxed structure of HoInHgAu.

Cell lengths 5.035, 5.035, 5.035 Å; angles 60.00, 60.00, 60.00 degrees
Positions (direct):
Ho  0.250  0.250  0.250
Hg  0.500  0.500  0.500
In  0.750  0.750  0.750
Au  0.000  0.000  0.000

Output
Total DFT energy (no corrections) ... -3.240 eV/atom
Formation energy ... -0.5160 eV per atom

---

[6]
DFT (PBE) results for a relaxed structure of BeSe3.

Cell lengths 7.468, 7.468, 3.348 Å; angles 90.00, 90.00, 120.00 degrees
Positions (direct):
Se  0.201  0.799  0.750
Se  0.799  0.597  0.250
Se  0.597  0.799  0.750
Se  0.201  0.403  0.750
Se  0.799  0.201  0.250
Se  0.403  0.201  0.250
Be  0.667  0.333  0.750
Be  0.333  0.667  0.250

Output
Total DFT energy (no corrections) ... -3.361 eV/atom
ΔE_f (raw) ... 18 kJ per mole of atoms

---

[7]
DFT (PBE) results for a relaxed structure of Sr2Pb3.

Cell lengths 6.637, 6.637, 9.322 Å; angles 90.00, 90.00, 61.94 degrees
Positions (direct):
Pb  0.500  0.500  0.500
Pb  0.137  0.637  0.750
Pb  0.363  0.863  0.250
Pb  0.637  0.137  0.750
Pb  0.000  0.000  0.000
Pb  0.863  0.363  0.250
Sr  0.350  0.350  0.099
Sr  0.850  0.850  0.401
Sr  0.650  0.650  0.901
Sr  0.150  0.150  0.599

Output
Total DFT energy (no corrections) ... -3.285 eV/atom
Formation energy ... -0.3876 eV per atom

---

[8]
DFT (PBE) results for a relaxed structure of AcHfCo2H8.

Cell lengths 4.560, 4.560, 6.843 Å; angles 70.54, 70.54, 60.00 degrees
Positions (direct):
H  0.194  0.194  0.419
H  0.409  0.674  0.826
H  0.806  0.806  0.581
H  0.326  0.909  0.174
H  0.909  0.591  0.174
H  0.091  0.409  0.826
H  0.591  0.326  0.174
H  0.674  0.091  0.826
Co  0.275  0.275  0.174
Co  0.725  0.725  0.826
Ac  0.500  0.500  0.500
Hf  0.000  0.000  0.000

Output
Total DFT energy (no corrections) ... -4.796 eV/atom

---

[9]
DFT (PBE) results for a relaxed structure of CuTeIN2.

Cell lengths 3.954, 3.954, 7.805 Å; angles 90.00, 90.00, 90.00 degrees
Positions (direct):
Cu  0.500  0.500  0.500
I  0.000  0.000  0.500
Te  0.000  0.000  0.000
N  0.000  0.500  0.000
N  0.500  0.000  0.000

Output
Total DFT energy (no corrections) ... -3.737 eV/atom
ΔE_f (raw) ... 130 kJ per mole of atoms

---

[10]
DFT (PBE) results for a relaxed structure of NaSrCa2B.

Cell lengths 5.880, 6.244, 5.880 Å; angles 90.00, 90.00, 90.00 degrees
Site moments in Bohr magnetons follow the coordinates.
Positions (direct):
Na  0.000  0.000  0.000  -0.01
Sr  0.000  0.500  0.000  0.01
Ca  0.500  0.000  0.000  0.00
Ca  0.000  0.000  0.500  0.01
B  0.500  0.500  0.500  0.22

Output
Total DFT energy (no corrections) ... -1.370 eV/atom
Formation energy ... 1.3659 eV per atom

---

[11]
DFT (PBE) results for a relaxed structure of La2PrEr4Th.

Cell lengths 3.611, 6.278, 11.744 Å; angles 79.89, 90.00, 90.00 degrees
Positions (direct):
Er  0.000  0.255  0.252
Er  0.000  0.745  0.748
Er  0.500  0.257  0.744
Er  0.500  0.743  0.256
Th  0.000  0.500  0.500
Pr  0.500  0.500  0.000
La  0.000  0.000  0.000
La  0.500  0.000  0.500

Output
Total DFT energy (no corrections) ... -5.016 eV/atom
Formation energy ... 0.0226 eV per atom

---

[12]
DFT (PBE) results for a relaxed structure of Zn2InAs.

Cell lengths 4.845, 4.845, 4.845 Å; angles 60.00, 60.00, 60.00 degrees
Positions (direct):
As  0.000  0.000  0.000
Zn  0.750  0.750  0.750
Zn  0.250  0.250  0.250
In  0.500  0.500  0.500

Output
Total DFT energy (no corrections) ... -2.294 eV/atom
Formation energy ... 0.1897 eV per atom

---

[13]
DFT (PBE) results for a relaxed structure of InAgSeS.

Cell lengths 4.282, 4.282, 7.327 Å; angles 73.01, 73.01, 60.00 degrees
Positions (direct):
Ag  0.473  0.473  0.582
In  0.980  0.980  0.060
Se  0.103  0.103  0.690
S  0.601  0.601  0.198

Output
Total DFT energy (no corrections) ... -3.622 eV/atom
ΔE_f (raw) ... -31 kJ per mole of atoms

---

[14]
DFT (PBE) results for a relaxed structure of SrZn2Tc.

Cell lengths 3.466, 3.478, 7.098 Å; angles 90.00, 90.00, 90.00 degrees
Site moments in Bohr magnetons follow the coordinates.
Positions (direct):
Zn  0.000  0.000  0.956  0.00
Zn  0.500  0.500  0.189  0.00
Sr  0.000  0.000  0.518  0.00
Tc  0.500  0.500  0.837  0.29

Output
Total DFT energy (no corrections) ... -3.312 eV/atom
Formation energy ... 0.3368 eV per atom

---

[15]
DFT (PBE) results for a relaxed structure of Pa3Zn4Co4.

Cell lengths 3.454, 7.566, 8.121 Å; angles 117.76, 102.28, 90.00 degrees
Positions (direct):
Pa  0.000  0.500  0.000
Pa  0.112  0.112  0.225
Pa  0.888  0.888  0.775
Co  0.740  0.240  0.480
Co  0.260  0.760  0.520
Co  0.500  0.248  0.000
Co  0.500  0.752  0.000
Zn  0.677  0.859  0.355
Zn  0.323  0.504  0.645
Zn  0.677  0.496  0.355
Zn  0.323  0.141  0.645

Output
Total DFT energy (no corrections) ... -5.910 eV/atom
Formation energy ... -0.2730 eV per atom

---

[16]
DFT (PBE) results for a relaxed structure of Nd3TmSc3.

Cell lengths 8.572, 8.572, 8.572 Å; angles 58.75, 58.75, 58.75 degrees
Positions (direct):
Sc  0.276  0.829  0.062
Sc  0.724  0.171  0.938
Sc  0.829  0.062  0.276
Sc  0.938  0.724  0.171
Sc  0.171  0.938  0.724
Sc  0.062  0.276  0.829
Nd  0.436  0.927  0.286
Nd  0.073  0.714  0.564
Nd  0.564  0.073  0.714
Nd  0.286  0.436  0.927
Nd  0.714  0.564  0.073
Nd  0.927  0.286  0.436
Tm  0.656  0.656  0.656
Tm  0.344  0.344  0.344

Output
Total DFT energy (no corrections) ... -5.215 eV/atom
Formation energy ... 0.1809 eV per atom

---

[17]
DFT (PBE) results for a relaxed structure of Ce2Mn3Cu9.

Cell lengths 5.270, 5.270, 8.925 Å; angles 90.00, 90.00, 123.68 degrees
Site moments in Bohr magnetons follow the coordinates.
Positions (direct):
Mn  0.500  0.500  0.191  2.91
Mn  0.500  0.500  0.809  3.28
Mn  0.000  0.000  0.302  2.82
Cu  0.000  0.500  0.252  0.04
Cu  0.500  0.000  0.749  0.02
Cu  0.695  0.305  0.000  0.06
Cu  0.000  0.000  0.693  0.04
Cu  0.193  0.807  0.501  0.02
Cu  0.305  0.695  0.000  0.06
Cu  0.500  0.000  0.252  0.04
Cu  0.807  0.193  0.501  0.02
Cu  0.000  0.500  0.749  0.02
Ce  0.000  0.000  0.008  -0.51
Ce  0.500  0.500  0.493  -0.56

Output
Total DFT energy (no corrections) ... -5.400 eV/atom
Formation energy ... 0.0455 eV per atom

---

[18]
DFT (PBE) results for a relaxed structure of PmThPdRu.

Cell lengths 3.944, 4.091, 6.116 Å; angles 90.00, 108.81, 90.00 degrees
Positions (direct):
Ru  0.597  0.500  0.193
Th  0.134  0.000  0.268
Pd  0.415  0.000  0.830
Pm  0.855  0.500  0.709

Output
Total DFT energy (no corrections) ... -7.293 eV/atom
Formation energy ... -0.6332 eV per atom

---

[19]
DFT (PBE) results for a relaxed structure of SrY2As.

Cell lengths 6.816, 6.816, 5.649 Å; angles 65.53, 65.53, 32.35 degrees
Positions (direct):
As  0.750  0.750  0.750
Y  0.437  0.437  0.563
Y  0.063  0.063  0.937
Sr  0.250  0.250  0.250

Output
Total DFT energy (no corrections) ... -5.368 eV/atom
Formation energy ... -0.5531 eV per atom

---

[20]
DFT (PBE) results for a relaxed structure of NpTi2Sb.

Cell lengths 3.189, 3.189, 9.373 Å; angles 80.20, 80.20, 60.00 degrees
Site moments in Bohr magnetons follow the coordinates.
Positions (direct):
Np  0.000  0.000  0.000  3.42
Ti  0.751  0.751  0.746  0.01
Ti  0.249  0.249  0.254  0.01
Sb  0.500  0.500  0.500  0.02

Output
Total DFT energy (no corrections) ... -8.049 eV/atom
ΔE_f (raw) ... 16 kJ per mole of atoms

---

[21]
DFT (PBE) results for a relaxed structure of NaMgTe2Au.

Cell lengths 5.437, 7.343, 7.709 Å; angles 100.41, 90.00, 90.00 degrees
Positions (direct):
Te  0.677  0.732  0.965
Te  0.323  0.268  0.035
Te  0.677  0.268  0.535
Te  0.323  0.732  0.465
Na  0.128  0.500  0.750
Na  0.872  0.500  0.250
Mg  0.520  0.000  0.750
Mg  0.480  0.000  0.250
Au  0.000  0.000  0.500
Au  0.000  0.000  0.000

Output
Total DFT energy (no corrections) ... -3.144 eV/atom
ΔE_f (raw) ... -63 kJ per mole of atoms

---

[22]
DFT (PBE) results for a relaxed structure of Tl3BiPb.

Cell lengths 4.806, 6.349, 11.257 Å; angles 88.42, 89.94, 67.66 degrees
Positions (direct):
Bi  0.042  0.917  0.842
Bi  0.958  0.083  0.158
Tl  0.253  0.494  0.248
Tl  0.152  0.695  0.555
Tl  0.848  0.305  0.445
Tl  0.648  0.702  0.051
Tl  0.352  0.298  0.949
Tl  0.747  0.506  0.752
Pb  0.455  0.091  0.650
Pb  0.545  0.909  0.350

Output
Total DFT energy (no corrections) ... -2.950 eV/atom
Formation energy ... -0.0121 eV per atom

---

[23]
DFT (PBE) results for a relaxed structure of Ac3Mg.

Cell lengths 5.378, 5.378, 6.671 Å; angles 113.77, 113.77, 90.00 degrees
Positions (direct):
Ac  0.250  0.750  0.500
Ac  0.750  0.250  0.500
Ac  0.500  0.500  0.000
Mg  0.000  0.000  0.000

Output
Total DFT energy (no corrections) ... -3.455 eV/atom
Formation energy ... 0.0250 eV per atom

---

[24]
DFT (PBE) results for a relaxed structure of Ti3AlH.

Cell lengths 4.931, 4.931, 4.931 Å; angles 114.24, 114.24, 114.24 degrees
Positions (direct):
Al  0.384  0.384  0.384
H  0.905  0.905  0.905
Ti  0.724  0.138  0.724
Ti  0.724  0.724  0.138
Ti  0.138  0.724  0.724

Output
Total DFT energy (no corrections) ... -6.153 eV/atom

---

[25]
DFT (PBE) results for a relaxed structure of Ac3TeS3.

Cell lengths 8.513, 8.513, 9.291 Å; angles 62.73, 62.73, 60.00 degrees
Positions (direct):
S  0.789  0.121  0.642
S  0.553  0.211  0.358
S  0.447  0.789  0.642
S  0.121  0.447  0.642
S  0.211  0.879  0.358
S  0.879  0.553  0.358
Te  0.333  0.333  0.001
Te  0.667  0.667  0.999
Ac  0.247  0.575  0.263
Ac  0.753  0.425  0.737
Ac  0.914  0.247  0.263
Ac  0.575  0.914  0.263
Ac  0.425  0.086  0.737
Ac  0.086  0.753  0.737

Output
Total DFT energy (no corrections) ... -5.887 eV/atom
ΔE_f (raw) ... -184 kJ per mole of atoms